SrAs3Pb: single point on PBEsol structure, SCAN.

Cell lengths 5.342, 5.342, 5.342 Å; angles 90.00, 90.00, 90.00 degrees
Space group Pm-3m (No. 221)
Inequivalent atoms, fractional coordinates:
Sr  0.000  0.000  0.000 [1 per cell]
As  0.000  0.500  0.500 [3 per cell]
Pb  0.500  0.500  0.500 [1 per cell]

## Properties
Calculated density = 5658 kg/m³
M_tot = 0.00 μB per cell
Electronic total energy = -31.46 eV/atom
ΔE_f = 26.03 kJ/mol of atoms